Sc2InRh: single point on PBEsol structure, SCAN.

a = 3.1901 Å, b = 3.2422 Å, c = 7.3141 Å
α = 90.00°, β = 90.00°, γ = 90.00°
With the nearest neighbours (Å) after each atom.
Space group Pmmm (No. 47)
Asymmetric unit:
Sc: 0.0000 0.0000 0.2146 x2  4 Rh 2.76, 4 In 3.09
In: 0.5000 0.5000 0.5000 x1  8 Sc 3.09, 4 In 3.19-3.24
Rh: 0.5000 0.5000 0.0000 x1  8 Sc 2.76

## Properties
VASP energy (eV per atom): -24.780
Spin magnetization (μB per formula unit): 0.0
ΔH_f (0 K) (eV per atom): -0.87
DOS(E_F) (states/eV/f.u.): 1.94